Entry 1:
Below is ZnGaCo after structural relaxation, with properties calculated at the PBE level.

Values from the calculation:
Spin magnetization: 0.47 μB/cell
E_tot: -3.876 eV/atom
Formation energy from the elements: -74 meV/atom

abc: 2.9909 2.9909 4.8888
angles: 107.81 107.81 90.00
Each line ends with the local moment (μB).
Element x y z (fractional)
1 Ga 0.9667 0.9667 0.9334  -0.02
2 Zn 0.2729 0.2729 0.5459  -0.02
3 Co 0.6103 0.6103 0.2207  0.54

=====

Entry 2:
Below is Zn3GaCo after structural relaxation, with properties calculated at the PBE level.

Values from the calculation:
Spin magnetization: 1.94 μB/cell
Excess energy over the best structure of this formula in the dataset: 54.1 kJ per mole of atoms
E_tot: -1.885 eV/atom
Formation energy from the elements: 906 meV/atom

abc: 4.6609 4.6609 4.6609
angles: 90.00 90.00 90.00
Each line ends with the local moment (μB).
Element x y z (fractional)
1 Co 0.5000 0.5000 0.5000  1.99
2 Zn 0.5000 0.0000 0.0000  0.00
3 Zn 0.0000 0.0000 0.5000  0.00
4 Zn 0.0000 0.5000 0.0000  0.00
5 Ga 0.0000 0.0000 0.0000  0.04

=====

Entry 3:
Below is ZnGa11Co4 after structural relaxation, with properties calculated at the PBE level.

Values from the calculation:
Spin magnetization: 0.00 μB/cell
E_tot: -4.201 eV/atom
Formation energy from the elements: -264 meV/atom

abc: 6.3947 6.2578 6.3130
angles: 89.91 90.00 90.00
Element x y z (fractional)
1 Co 0.0000 0.6576 0.3527
2 Co 0.5000 0.1553 0.1559
3 Co 0.5000 0.8447 0.8441
4 Co 0.0000 0.3424 0.6473
5 Ga 0.5000 0.0000 0.5000
6 Ga 0.0000 0.0000 0.5000
7 Ga 0.5000 0.5000 0.0000
8 Ga 0.7468 0.8460 0.1497
9 Ga 0.2374 0.3501 0.3398
10 Ga 0.7626 0.3501 0.3398
11 Ga 0.7626 0.6499 0.6602
12 Ga 0.2374 0.6499 0.6602
13 Ga 0.7468 0.1540 0.8503
14 Ga 0.2532 0.8460 0.1497
15 Ga 0.2532 0.1540 0.8503
16 Zn 0.0000 0.5000 0.0000

=====

Which of these has the lowest spin magnetization? ZnGa11Co4

=====

What is the formation energy from the elements in the third record? -264 meV/atom

=====

Look up the E_tot of the second one. -1.885 eV/atom

=====

Which of these has the lowest formation energy from the elements? ZnGa11Co4